[1]
This record from Alexandria via LeMat-Bulk describes a geometry-optimized BaFe2Te structure. The functional is PBE.

Its space group is No. 71.

Unit cell a=5.2831 b=5.2831 c=5.2831 alpha=126.25 beta=109.21 gamma=94.57
With the nearest neighbours (Å) after each atom.
Atoms (fractional coordinates):
Fe: 0.9047 0.9047 0.0000  1 Fe 2.22
Fe: 0.5953 0.5953 0.0000  1 Fe 2.22
Te: 0.7500 0.2500 0.5000  4 Fe 2.63
Ba: 0.2500 0.7500 0.5000  8 Fe 3.25-3.44, 2 Te 3.58

=====

[2]
This record from Alexandria via LeMat-Bulk describes a geometry-optimized BaFe2Te structure. The functional is PBE.

Its space group is No. 12.

Unit cell a=4.5343 b=5.8897 c=4.6807 alpha=67.10 beta=88.78 gamma=112.11
With the nearest neighbours (Å) after each atom.
Atoms (fractional coordinates):
Ba: 0.5000 0.5000 0.0000  4 Fe 2.96, 4 Te 3.22-3.29
Fe: 0.0000 0.0000 0.0000  2 Te 2.96, 2 Ba 2.96, 4 Fe 3.22-3.29
Fe: 0.5000 0.0000 0.5000  2 Ba 2.96, 2 Te 2.96, 4 Fe 3.22-3.29
Te: 0.0000 0.5000 0.5000  4 Fe 2.96, 4 Ba 3.22-3.29

=====

[3]
This record from Alexandria via LeMat-Bulk describes a geometry-optimized BaFeTe structure. The functional is PBE.

For the energy above the most stable polymorph in this dataset, the calculation gives 0.00 kJ/mol of atoms. Its space group is No. 187.

Unit cell a=4.5343 b=4.5343 c=4.9195 alpha=90.00 beta=90.00 gamma=120.00
With the nearest neighbours (Å) after each atom.
Atoms (fractional coordinates):
Te: 0.3333 0.6667 0.5001  3 Fe 2.62
Ba: 0.0000 0.0000 0.0001  6 Fe 3.59, 6 Te 3.59
Fe: 0.6667 0.3333 0.4998  3 Te 2.62

=====

[4]
This record from Alexandria via LeMat-Bulk describes a geometry-optimized BaFe2Te structure. The functional is PBE.

Its space group is No. 160.

Unit cell a=4.2429 b=4.2429 c=6.6004 alpha=71.27 beta=71.27 gamma=60.01
With the nearest neighbours (Å) after each atom.
Atoms (fractional coordinates):
Ba: 0.2600 0.2600 0.2205  7 Fe 3.43-3.73, 4 Te 3.52-3.58
Fe: 0.7319 0.7319 0.8040  3 Fe 2.45, 3 Te 2.63
Fe: 0.0568 0.0568 0.8293  3 Fe 2.45, 3 Te 2.69
Te: 0.4512 0.4512 0.6462  6 Fe 2.63-2.69

=====

Number 1: volume 26.2 Å³ per atom, formation energy without anion corrections 387 meV/atom. Number 2: volume 26.1 Å³ per atom, formation energy without anion corrections 658 meV/atom. Number 3: volume 29.2 Å³ per atom, formation energy without anion corrections -395 meV/atom. Number 4: volume 23.9 Å³ per atom, formation energy without anion corrections -100 meV/atom.